Entry 1:
Density functional theory data (PBE-GGA) for an optimized crystal structure of TeAs2N.

Structure (CIF):
```
data_TeAs2N
_chemical_formula_sum 'Te2 As4 N2'
_cell_length_a 5.610
_cell_length_b 5.610
_cell_length_c 6.990
_cell_angle_alpha 66.34
_cell_angle_beta 66.34
_cell_angle_gamma 90.00
_symmetry_space_group_name_H-M 'P 1'
_symmetry_Int_Tables_number 1
_symmetry_space_group_name_Hall 'P 1'
loop_
_atom_site_label
_atom_site_type_symbol
_atom_site_fract_x
_atom_site_fract_y
_atom_site_fract_z
As1 As 0.495 0.125 0.250
As2 As 0.255 0.625 0.250
As3 As 0.375 0.505 0.750
As4 As 0.875 0.745 0.750
Te1 Te 0.000 0.000 0.000
Te2 Te 0.750 0.250 0.500
N1 N 0.500 0.500 0.000
N2 N 0.250 0.750 0.500
```

Summary:
energy above the lowest structure with this stoichiometry = 0 meV per atom
volume = 181 Å³/cell
total magnetization = 0.000 μB/atom
raw formation energy = 0.6829 eV/atom
uncorrected energy = -36.1 eV for the cell shown


Entry 2:
Density functional theory data (PBE-GGA) for an optimized crystal structure of Li2InBiH.

Structure (CIF):
```
data_Li2InBiH
_chemical_formula_sum 'Li2 In1 Bi1 H1'
_cell_length_a 4.710
_cell_length_b 4.710
_cell_length_c 4.366
_cell_angle_alpha 90.00
_cell_angle_beta 90.00
_cell_angle_gamma 90.00
_symmetry_space_group_name_H-M 'P 1'
_symmetry_Int_Tables_number 1
_symmetry_space_group_name_Hall 'P 1'
loop_
_atom_site_label
_atom_site_type_symbol
_atom_site_fract_x
_atom_site_fract_y
_atom_site_fract_z
H1 H 0.000 0.000 0.000
Li1 Li 0.000 0.500 0.000
Li2 Li 0.500 0.000 0.000
Bi1 Bi 0.000 0.000 0.500
In1 In 0.500 0.500 0.500
```

Summary:
energy above the lowest structure with this stoichiometry = 111 meV per atom
volume = 97 Å³/cell
total magnetization = 0.000 μB/atom
uncorrected energy = -14.3 eV for the cell shown


Entry 3:
Density functional theory data (PBE-GGA) for an optimized crystal structure of AcNi2Pt3.

Structure (CIF):
```
data_AcNi2Pt3
_chemical_formula_sum 'Ac1 Ni2 Pt3'
_cell_length_a 4.105
_cell_length_b 5.463
_cell_length_c 5.463
_cell_angle_alpha 120.00
_cell_angle_beta 90.00
_cell_angle_gamma 90.00
_symmetry_space_group_name_H-M 'P 1'
_symmetry_Int_Tables_number 1
_symmetry_space_group_name_Hall 'P 1'
loop_
_atom_site_label
_atom_site_type_symbol
_atom_site_fract_x
_atom_site_fract_y
_atom_site_fract_z
Ac1 Ac 0.000 0.001 0.000
Ni1 Ni 0.000 0.334 0.667
Ni2 Ni 0.000 0.668 0.333
Pt1 Pt 0.500 0.001 0.500
Pt2 Pt 0.500 0.501 0.500
Pt3 Pt 0.500 0.501 0.000
```

Summary:
volume = 106 Å³/cell
total magnetization = 0.000 μB/atom
uncorrected energy = -37.8 eV for the cell shown
formation energy = -0.6700 eV per atom


Entry 4:
Density functional theory data (PBE-GGA) for an optimized crystal structure of TaSbRh2.

Structure (CIF):
```
data_TaSbRh2
_chemical_formula_sum 'Ta1 Sb1 Rh2'
_cell_length_a 8.861
_cell_length_b 8.861
_cell_length_c 8.861
_cell_angle_alpha 19.72
_cell_angle_beta 19.72
_cell_angle_gamma 19.72
_symmetry_space_group_name_H-M 'P 1'
_symmetry_Int_Tables_number 1
_symmetry_space_group_name_Hall 'P 1'
loop_
_atom_site_label
_atom_site_type_symbol
_atom_site_fract_x
_atom_site_fract_y
_atom_site_fract_z
Ta1 Ta 0.254 0.254 0.254
Sb1 Sb 0.496 0.496 0.496
Rh1 Rh 0.998 0.998 0.998
Rh2 Rh 0.752 0.752 0.752
```

Summary:
volume = 69 Å³/cell
total magnetization = 0.000 μB/atom
raw formation energy = 0.0345 eV/atom
uncorrected energy = -30.5 eV for the cell shown


Entry 5:
Density functional theory data (PBE-GGA) for an optimized crystal structure of TaAgPb4.

Structure (CIF):
```
data_TaAgPb4
_chemical_formula_sum 'Ta1 Ag1 Pb4'
_cell_length_a 6.254
_cell_length_b 6.254
_cell_length_c 6.254
_cell_angle_alpha 60.00
_cell_angle_beta 60.00
_cell_angle_gamma 60.00
_symmetry_space_group_name_H-M 'P 1'
_symmetry_Int_Tables_number 1
_symmetry_space_group_name_Hall 'P 1'
loop_
_atom_site_label
_atom_site_type_symbol
_atom_site_fract_x
_atom_site_fract_y
_atom_site_fract_z
Ta1 Ta 0.750 0.750 0.750
Ag1 Ag 0.000 0.000 0.000
Pb1 Pb 0.874 0.375 0.375
Pb2 Pb 0.375 0.375 0.874
Pb3 Pb 0.375 0.874 0.375
Pb4 Pb 0.375 0.375 0.375
```

Summary:
volume = 173 Å³/cell
total magnetization = 0.426 μB/atom
uncorrected energy = -23.8 eV for the cell shown
formation energy = 0.9491 eV per atom


Entry 6:
Density functional theory data (PBE-GGA) for an optimized crystal structure of ZnSiPb2.

Structure (CIF):
```
data_ZnSiPb2
_chemical_formula_sum 'Zn1 Si1 Pb2'
_cell_length_a 3.523
_cell_length_b 3.523
_cell_length_c 7.847
_cell_angle_alpha 90.00
_cell_angle_beta 90.00
_cell_angle_gamma 89.99
_symmetry_space_group_name_H-M 'P 1'
_symmetry_Int_Tables_number 1
_symmetry_space_group_name_Hall 'P 1'
loop_
_atom_site_label
_atom_site_type_symbol
_atom_site_fract_x
_atom_site_fract_y
_atom_site_fract_z
Pb1 Pb 0.000 0.000 0.942
Pb2 Pb 0.500 0.500 0.311
Si1 Si 0.000 0.000 0.554
Zn1 Zn 0.500 0.500 0.693
```

Summary:
energy above the lowest structure with this stoichiometry = 36 meV per atom
volume = 97 Å³/cell
total magnetization = 0.000 μB/atom
raw formation energy = 0.2617 eV/atom
uncorrected energy = -13.1 eV for the cell shown


Entry 7:
Density functional theory data (PBE-GGA) for an optimized crystal structure of MnTe2Au.

Structure (CIF):
```
data_MnTe2Au
_chemical_formula_sum 'Mn1 Te2 Au1'
_cell_length_a 3.501
_cell_length_b 3.501
_cell_length_c 7.123
_cell_angle_alpha 90.00
_cell_angle_beta 90.00
_cell_angle_gamma 90.00
_symmetry_space_group_name_H-M 'P 1'
_symmetry_Int_Tables_number 1
_symmetry_space_group_name_Hall 'P 1'
loop_
_atom_site_label
_atom_site_type_symbol
_atom_site_fract_x
_atom_site_fract_y
_atom_site_fract_z
Au1 Au 0.500 0.500 0.250
Mn1 Mn 0.500 0.500 0.750
Te1 Te 0.000 0.000 0.974
Te2 Te 0.000 0.000 0.526
```

Summary:
energy above the lowest structure with this stoichiometry = 335 meV per atom
volume = 87 Å³/cell
total magnetization = 0.793 μB/atom
raw formation energy = 0.2453 eV/atom
uncorrected energy = -17.7 eV for the cell shown


Entry 8:
Density functional theory data (PBE-GGA) for an optimized crystal structure of WAuSe.

Structure (CIF):
```
data_WAuSe
_chemical_formula_sum 'W1 Au1 Se1'
_cell_length_a 4.313
_cell_length_b 4.313
_cell_length_c 4.313
_cell_angle_alpha 60.00
_cell_angle_beta 60.00
_cell_angle_gamma 60.00
_symmetry_space_group_name_H-M 'P 1'
_symmetry_Int_Tables_number 1
_symmetry_space_group_name_Hall 'P 1'
loop_
_atom_site_label
_atom_site_type_symbol
_atom_site_fract_x
_atom_site_fract_y
_atom_site_fract_z
Au1 Au 0.500 0.500 0.500
Se1 Se 0.750 0.750 0.750
W1 W 0.000 0.000 0.000
```

Summary:
energy above the lowest structure with this stoichiometry = 862 meV per atom
volume = 57 Å³/cell
total magnetization = 0.000 μB/atom
raw formation energy = 0.9380 eV/atom
uncorrected energy = -16.9 eV for the cell shown


Entry 9:
Density functional theory data (PBE-GGA) for an optimized crystal structure of Co2TePb.

Structure (CIF):
```
data_Co2TePb
_chemical_formula_sum 'Co2 Te1 Pb1'
_cell_length_a 4.679
_cell_length_b 4.679
_cell_length_c 4.679
_cell_angle_alpha 60.00
_cell_angle_beta 60.00
_cell_angle_gamma 60.00
_symmetry_space_group_name_H-M 'P 1'
_symmetry_Int_Tables_number 1
_symmetry_space_group_name_Hall 'P 1'
loop_
_atom_site_label
_atom_site_type_symbol
_atom_site_fract_x
_atom_site_fract_y
_atom_site_fract_z
Pb1 Pb 0.500 0.500 0.500
Te1 Te 0.000 0.000 0.000
Co1 Co 0.250 0.250 0.250
Co2 Co 0.750 0.750 0.750
```

Summary:
energy above the lowest structure with this stoichiometry = 381 meV per atom
volume = 72 Å³/cell
total magnetization = 0.624 μB/atom
raw formation energy = 0.5054 eV/atom
uncorrected energy = -19.0 eV for the cell shown


Entry 10:
Density functional theory data (PBE-GGA) for an optimized crystal structure of Li2NiHPd.

Structure (CIF):
```
data_Li2NiHPd
_chemical_formula_sum 'Li2 Ni1 H1 Pd1'
_cell_length_a 3.797
_cell_length_b 3.797
_cell_length_c 3.735
_cell_angle_alpha 90.00
_cell_angle_beta 90.00
_cell_angle_gamma 90.00
_symmetry_space_group_name_H-M 'P 1'
_symmetry_Int_Tables_number 1
_symmetry_space_group_name_Hall 'P 1'
loop_
_atom_site_label
_atom_site_type_symbol
_atom_site_fract_x
_atom_site_fract_y
_atom_site_fract_z
Ni1 Ni 0.500 0.500 0.500
H1 H 0.000 0.000 0.000
Pd1 Pd 0.000 0.000 0.500
Li1 Li 0.000 0.500 0.000
Li2 Li 0.500 0.000 0.000
```

Summary:
energy above the lowest structure with this stoichiometry = 67 meV per atom
volume = 54 Å³/cell
total magnetization = 0.065 μB/atom
uncorrected energy = -19.0 eV for the cell shown


- What is the volume in the second record?
  97 Å³/cell